(1)
Here is an optimized crystal structure of Y5Ho3Sc from Alexandria. Energies are from PBE-GGA.

abc: 8.516 8.516 9.848
angles: 115.62 115.62 90.00
Atoms (fractional coordinates):
Ho: 0.250 0.250 0.500
Ho: 0.619 0.119 0.000
Ho: 0.750 0.750 0.500
Ho: 0.381 0.881 0.000
Ho: 0.881 0.619 0.000
Ho: 0.119 0.381 0.000
Sc: 0.750 0.250 0.500
Sc: 0.250 0.750 0.500
Y: 0.844 0.936 0.281
Y: 0.500 0.500 0.000
Y: 0.564 0.656 0.719
Y: 0.064 0.564 0.719
Y: 0.436 0.344 0.281
Y: 0.156 0.064 0.719
Y: 0.344 0.844 0.281
Y: 0.656 0.156 0.719
Y: 0.000 0.000 0.000
Y: 0.936 0.436 0.281

Properties
* formation energy from the elements: 296 meV/atom

***

(2)
Here is an optimized crystal structure of CrP2AuCl from Alexandria. Energies are from PBE-GGA.

abc: 4.436 4.436 4.751
angles: 90.00 90.00 90.00
Atoms (fractional coordinates):
Au: 0.500 0.500 0.500
Cl: 0.000 0.000 0.500
Cr: 0.000 0.000 0.000
P: 0.500 0.000 0.000
P: 0.000 0.500 0.000

Properties
* total energy: -4.662 eV per atom

***

| no. | density of states at the Fermi level (states/eV per atom) |
| --- | --- |
| 1 | 1.51 |
| 2 | 0.74 |